Compound: LaNi2Rh
Source: Alexandria
Functional: PBE-GGA
Structure: optimized geometry

a = 3.224 Å, b = 3.224 Å, c = 6.425 Å
α = 90.00°, β = 90.00°, γ = 90.00°
Element x y z (fractional)
La: 0.000 0.000 0.000
Ni: 0.000 0.000 0.468
Ni: 0.500 0.500 0.312
Rh: 0.500 0.500 0.695

Output
formation energy from the elements	-0.04	eV per formula unit
relative energy among the computed polymorphs	0.378	eV per atom
space-group type	P4mm
uncorrected energy	-0.4389	Ry/atom
magnetic moment	0.5	μB/cell

---

Compound: La2Ni3Rh
Source: Alexandria
Functional: PBE-GGA
Structure: optimized geometry

a = 5.351 Å, b = 5.351 Å, c = 5.351 Å
α = 58.00°, β = 58.00°, γ = 58.00°
Element x y z (fractional)
La: 0.123 0.123 0.123
La: 0.877 0.877 0.877
Ni: 0.000 0.500 0.500
Ni: 0.500 0.000 0.500
Ni: 0.500 0.500 0.000
Rh: 0.500 0.500 0.500

Output
formation energy from the elements	-2.68	eV per formula unit
space-group type	R-3m
uncorrected energy	-0.4560	Ry/atom
magnetic moment	0.0	μB/cell

---

Compound: LaNi2Rh
Source: Alexandria
Functional: PBE-GGA
Structure: optimized geometry

a = 3.404 Å, b = 3.404 Å, c = 5.780 Å
α = 90.00°, β = 90.00°, γ = 90.00°
Element x y z (fractional)
La: 0.000 0.000 0.000
Ni: 0.500 0.500 0.297
Ni: 0.500 0.500 0.703
Rh: 0.000 0.000 0.500

Output
formation energy from the elements	-0.12	eV per formula unit
relative energy among the computed polymorphs	0.359	eV per atom
space-group type	P4/mmm
uncorrected energy	-0.4403	Ry/atom
magnetic moment	0.0	μB/cell

---

Compound: LaNiRh
Source: Alexandria
Functional: PBE-GGA
Structure: optimized geometry

a = 5.325 Å, b = 5.325 Å, c = 5.325 Å
α = 122.29°, β = 117.15°, γ = 90.54°
Element x y z (fractional)
La: 0.370 0.120 0.250
La: 0.630 0.880 0.750
Ni: 0.000 0.000 0.500
Ni: 0.000 0.500 0.000
Rh: 0.000 0.500 0.500
Rh: 0.500 0.500 0.000

Output
formation energy from the elements	-1.67	eV per formula unit
space-group type	Imma
uncorrected energy	-0.4833	Ry/atom
magnetic moment	0.0	μB/cell

---

Compound: LaNi3Rh2
Source: Alexandria
Functional: PBE-GGA
Structure: optimized geometry

a = 5.118 Å, b = 5.118 Å, c = 4.043 Å
α = 90.00°, β = 90.00°, γ = 117.21°
Element x y z (fractional)
La: 0.000 0.000 0.000
Ni: 0.344 0.656 0.000
Ni: 0.500 0.500 0.500
Ni: 0.656 0.344 0.000
Rh: 0.000 0.500 0.500
Rh: 0.500 0.000 0.500

Output
formation energy from the elements	-2.09	eV per formula unit
relative energy among the computed polymorphs	0.000	eV per atom
space-group type	Cmmm
uncorrected energy	-0.4785	Ry/atom
magnetic moment	0.0	μB/cell

---

Compound: LaNiRh
Source: Alexandria
Functional: PBE-GGA
Structure: optimized geometry

a = 4.434 Å, b = 4.434 Å, c = 4.434 Å
α = 60.00°, β = 60.00°, γ = 60.00°
Element x y z (fractional)
La: 0.000 0.000 0.000
Ni: 0.250 0.250 0.250
Rh: 0.500 0.500 0.500

Output
formation energy from the elements	-0.59	eV per formula unit
space-group type	F-43m
uncorrected energy	-0.4569	Ry/atom
magnetic moment	0.0	μB/cell

---

Compound: LaNiRh
Source: Alexandria
Functional: PBE-GGA
Structure: optimized geometry

a = 4.501 Å, b = 4.501 Å, c = 4.501 Å
α = 60.00°, β = 60.00°, γ = 60.00°
Element x y z (fractional)
La: 0.000 0.000 0.000
Ni: 0.750 0.750 0.750
Rh: 0.250 0.250 0.250

Output
formation energy from the elements	0.55	eV per formula unit
space-group type	F-43m
uncorrected energy	-0.4290	Ry/atom
magnetic moment	0.0	μB/cell

---

Compound: La4NiRh2
Source: Alexandria
Functional: PBE-GGA
Structure: optimized geometry

a = 8.387 Å, b = 7.789 Å, c = 9.759 Å
α = 55.75°, β = 50.15°, γ = 74.11°
Element x y z (fractional)
La: 0.030 0.450 0.806
La: 0.045 0.955 0.286
La: 0.444 0.536 0.220
La: 0.450 0.030 0.714
La: 0.536 0.444 0.800
La: 0.536 0.964 0.295
La: 0.955 0.045 0.714
La: 0.964 0.536 0.205
Ni: 0.000 0.000 0.000
Ni: 0.250 0.250 0.250
Rh: 0.248 0.743 0.754
Rh: 0.496 0.994 0.002
Rh: 0.743 0.248 0.256
Rh: 0.994 0.496 0.507

Output
formation energy from the elements	-3.71	eV per formula unit
space-group type	Fdd2
uncorrected energy	-0.4609	Ry/atom
magnetic moment	0.0	μB/cell

---

Compound: LaNi2Rh
Source: Alexandria
Functional: PBE-GGA
Structure: optimized geometry

a = 5.327 Å, b = 5.327 Å, c = 5.327 Å
α = 47.16°, β = 47.16°, γ = 47.16°
Element x y z (fractional)
La: 0.000 0.000 0.000
Ni: 0.191 0.191 0.191
Ni: 0.809 0.809 0.809
Rh: 0.500 0.500 0.500

Output
formation energy from the elements	-1.48	eV per formula unit
relative energy among the computed polymorphs	0.018	eV per atom
space-group type	R-3m
uncorrected energy	-0.4653	Ry/atom
magnetic moment	0.0	μB/cell

---

Compound: LaNi2Rh
Source: Alexandria
Functional: PBE-GGA
Structure: optimized geometry

a = 4.532 Å, b = 4.532 Å, c = 4.532 Å
α = 60.00°, β = 60.00°, γ = 60.00°
Element x y z (fractional)
La: 0.000 0.000 0.000
Ni: 0.250 0.250 0.250
Ni: 0.750 0.750 0.750
Rh: 0.500 0.500 0.500

Output
formation energy from the elements	-0.42	eV per formula unit
relative energy among the computed polymorphs	0.285	eV per atom
space-group type	Fm-3m
uncorrected energy	-0.4457	Ry/atom
magnetic moment	0.0	μB/cell

---

Compound: La2Ni2Rh
Source: Alexandria
Functional: PBE-GGA
Structure: optimized geometry

a = 5.326 Å, b = 5.326 Å, c = 5.326 Å
α = 119.32°, β = 119.32°, γ = 91.17°
Element x y z (fractional)
La: 0.250 0.750 0.500
La: 0.750 0.250 0.500
Ni: 0.155 0.155 0.000
Ni: 0.845 0.845 0.000
Rh: 0.500 0.500 0.000

Output
formation energy from the elements	-1.27	eV per formula unit
relative energy among the computed polymorphs	0.218	eV per atom
space-group type	I4/mmm
uncorrected energy	-0.4416	Ry/atom
magnetic moment	0.0	μB/cell

---

Compound: La2Ni2Rh
Source: Alexandria
Functional: PBE-GGA
Structure: optimized geometry

a = 8.579 Å, b = 8.579 Å, c = 8.579 Å
α = 156.19°, β = 156.19°, γ = 33.93°
Element x y z (fractional)
La: 0.109 0.109 0.000
La: 0.891 0.891 0.000
Ni: 0.250 0.750 0.500
Ni: 0.750 0.250 0.500
Rh: 0.500 0.500 0.000

Output
formation energy from the elements	-1.47	eV per formula unit
relative energy among the computed polymorphs	0.177	eV per atom
space-group type	I4/mmm
uncorrected energy	-0.4446	Ry/atom
magnetic moment	0.0	μB/cell